DFT (PBE) results for Th4GaSe4 after structural relaxation.

**Formation energy from raw total energies**: -1.370 eV per atom
**DOS(E_F)**: 5.6 states/eV/f.u.
**Total moment**: 0.000 μB per cell

a = 4.2687 Å, b = 7.2538 Å, c = 9.4694 Å
α = 76.72°, β = 76.97°, γ = 72.89°
Fractional positions:
Th 0.2985 0.1091 0.2940
Th 0.7015 0.8909 0.7060
Th 0.9013 0.2933 0.9041
Th 0.0987 0.7067 0.0959
Ga 0.5000 0.0000 0.0000
Se 0.6884 0.4111 0.2121
Se 0.8930 0.8166 0.3974
Se 0.3116 0.5889 0.7879
Se 0.1070 0.1834 0.6026